VASP calculation (PBE with a Hubbard U) on a relaxed structure of Sr4V6F19.

a b c (Å): 8.181 8.181 8.181
angles (deg): 109.47 109.47 109.47
Site moments in Bohr magnetons follow the coordinates.
Sites, in units of the cell vectors:
F1 0.036 0.370 0.764  0.01
F2 0.764 0.036 0.370  0.01
F3 0.666 0.394 0.630  0.01
F4 0.332 0.000 0.332  0.01
F5 0.000 0.332 0.332  0.01
F6 0.668 0.000 0.668  0.01
F7 0.332 0.332 0.000  0.01
F8 0.370 0.764 0.036  0.01
F9 0.729 0.334 0.964  0.01
F10 0.668 0.668 0.000  0.01
F11 0.236 0.606 0.271  0.01
F12 0.394 0.630 0.666  0.01
F13 0.271 0.236 0.606  0.01
F14 0.606 0.271 0.236  0.01
F15 0.000 0.000 0.000  0.00
F16 0.964 0.729 0.334  0.01
F17 0.630 0.666 0.394  0.01
F18 0.334 0.964 0.729  0.01
F19 0.000 0.668 0.668  0.01
V1 0.500 0.160 0.660  2.73
V2 0.160 0.660 0.500  2.73
V3 0.660 0.500 0.160  2.73
V4 0.840 0.340 0.500  2.73
V5 0.500 0.840 0.340  2.73
V6 0.340 0.500 0.840  2.73
Sr1 0.000 0.000 0.679  0.00
Sr2 0.321 0.321 0.321  0.00
Sr3 0.000 0.679 0.000  0.00
Sr4 0.679 0.000 0.000  0.00

Summary:
The volume comes out at 14.54 Å³ per atom. Its total magnetic moment is 18.0 μB per formula unit. The calculation puts the total energy at -6.00 eV/atom. As for the density of states at the Fermi level: 0.5 states/eV/f.u.